This record from Alexandria describes a geometry-optimized PmY2Ni structure. The functional is PBE.

formation energy = -101 meV/atom
raw total energy = -5.97 eV/atom
calculated volume = 114.8 Å³/f.u.
Fermi-level density of states = 13.94 states/eV/cell

abc: 3.8392 3.8392 26.9840
angles: 90.00 90.00 120.00
Atoms (fractional coordinates):
Pm 0.0000 0.0000 0.0000
Pm 0.3333 0.6667 0.6667
Pm 0.6667 0.3333 0.3333
Y 0.0000 0.0000 0.2271
Y 0.0000 0.0000 0.4439
Y 0.3333 0.6667 0.1106
Y 0.3333 0.6667 0.8937
Y 0.6667 0.3333 0.5604
Y 0.6667 0.3333 0.7772
Ni 0.0000 0.0000 0.8362
Ni 0.3333 0.6667 0.5028
Ni 0.6667 0.3333 0.1695